(1)
DFT (GGA-PBE) results for a geometry-optimized Y2VSnN structure.

```
data_Y2VSnN
_chemical_formula_sum 'Y2 V1 Sn1 N1'
_cell_length_a 4.926
_cell_length_b 4.926
_cell_length_c 3.993
_cell_angle_alpha 90.00
_cell_angle_beta 90.00
_cell_angle_gamma 90.00
_symmetry_space_group_name_H-M 'P 1'
_symmetry_Int_Tables_number 1
loop_
_symmetry_equiv_pos_as_xyz
'x,y,z'
loop_
_atom_site_label
_atom_site_type_symbol
_atom_site_fract_x
_atom_site_fract_y
_atom_site_fract_z
V1 V 0.000 0.000 0.500
Y1 Y 0.500 0.000 0.000
Y2 Y 0.000 0.500 0.000
N1 N 0.000 0.000 0.000
Sn1 Sn 0.500 0.500 0.500
```

**Total magnetization**: 0.27 μB/atom
**Raw formation energy**: -4.25 eV/f.u.
**E_tot**: -38.62 eV/f.u.

=====

(2)
DFT (GGA-PBE) results for a geometry-optimized Tb4TmN4 structure.

```
data_Tb4TmN4
_chemical_formula_sum 'Tb4 Tm1 N4'
_cell_length_a 4.953
_cell_length_b 6.054
_cell_length_c 6.054
_cell_angle_alpha 80.38
_cell_angle_beta 65.86
_cell_angle_gamma 65.86
_symmetry_space_group_name_H-M 'P 1'
_symmetry_Int_Tables_number 1
loop_
_symmetry_equiv_pos_as_xyz
'x,y,z'
loop_
_atom_site_label
_atom_site_type_symbol
_atom_site_fract_x
_atom_site_fract_y
_atom_site_fract_z
Tb1 Tb 0.189 0.202 0.420
Tb2 Tb 0.609 0.580 0.202
Tb3 Tb 0.811 0.798 0.580
Tb4 Tb 0.391 0.420 0.798
N1 N 0.097 0.609 0.197
N2 N 0.706 0.197 0.391
N3 N 0.903 0.391 0.803
N4 N 0.294 0.803 0.609
Tm1 Tm 0.000 0.000 0.000
```

**Total magnetization**: 0.00 μB/atom
**Raw formation energy**: -13.41 eV/f.u.
**E_tot**: -69.70 eV/f.u.

=====

(3)
DFT (GGA-PBE) results for a geometry-optimized CrCl5 structure.

```
data_CrCl5
_chemical_formula_sum 'Cr1 Cl5'
_cell_length_a 6.393
_cell_length_b 6.393
_cell_length_c 7.556
_cell_angle_alpha 90.00
_cell_angle_beta 90.00
_cell_angle_gamma 148.64
_symmetry_space_group_name_H-M 'P 1'
_symmetry_Int_Tables_number 1
loop_
_symmetry_equiv_pos_as_xyz
'x,y,z'
loop_
_atom_site_label
_atom_site_type_symbol
_atom_site_fract_x
_atom_site_fract_y
_atom_site_fract_z
Cl1 Cl 0.741 0.259 0.500
Cl2 Cl 0.665 0.335 0.000
Cl3 Cl 0.486 0.514 0.500
Cl4 Cl 0.997 0.003 0.000
Cl5 Cl 0.331 0.669 0.000
Cr1 Cr 0.113 0.887 0.500
```

**Excess energy over the best structure of this formula in the dataset**: 0.2760 eV per atom
**Total magnetization**: 0.63 μB/atom
**Raw formation energy**: -1.62 eV/f.u.
**E_tot**: -20.48 eV/f.u.